Material: LaY4Ag
Method: DFT, GGA-PBE
State: relaxed

Unit cell a=3.6346 b=3.6346 c=13.9099 alpha=90.00 beta=90.00 gamma=90.00
Closest atoms and distances in Å follow each position.
Space group P4/mmm (No. 123)
Asymmetric unit:
La: 0.0000 0.0000 0.0000 x1  4 La 3.63, 8 Y 3.64
Y: 0.0000 0.0000 0.3676 x2  4 Ag 3.16
Y: 0.5000 0.5000 0.1857 x2  8 Y 3.61-3.63, 4 La 3.64
Ag: 0.5000 0.5000 0.5000 x1  8 Y 3.16

Calculated values
* formation energy from the elements: -77 meV/atom
* energy relative to the lowest polymorph listed for this composition: 0 meV/atom
* calculated volume: 183.8 Å³ per cell
* total magnetic moment: 0.000 μB/atom